Entry from Alexandria: a geometry-optimized CaAc3 structure (PBE-GGA).

It has space group Cmcm (No. 63), with a = 11.1660 Å, b = 11.1618 Å, c = 5.6837 Å, α = 90.00°, β = 90.00° and γ = 90.00°. Symmetry generates all atoms from Ca at (0.0000, 0.1237, 0.2500), Ac at (0.0000, 0.3787, 0.7500) and Ac at (0.2471, 0.3746, 0.2500).

The density comes out at 6.8 g cm⁻³. The calculation puts the electronic total energy at -3.56 eV per atom. The calculation puts the formation energy at 0.106 eV/f.u. The density of states at the Fermi level comes out at 25.94 states/eV per cell.



Entry from Alexandria: a geometry-optimized TaTc2Os structure (PBE-GGA).

It has space group C2/m (No. 12), with a = 9.3447 Å, b = 2.8239 Å, c = 4.7673 Å, α = 90.00°, β = 99.88° and γ = 90.00°. Symmetry generates all atoms from Ta at (0.0000, 0.0000, 0.0000), Tc at (0.2372, 0.0000, 0.7352) and Os at (0.0000, 0.5000, 0.5000).

The density comes out at 15.2 g cm⁻³. The calculation puts the electronic total energy at -10.97 eV per atom. The calculation puts the formation energy at -0.081 eV/f.u. The density of states at the Fermi level comes out at 8.53 states/eV per cell. For the offset from the most stable computed form, the calculation gives 25 meV per atom.



Entry from Alexandria: a geometry-optimized HoTl4 structure (PBE-GGA).

It has space group Pm-3m (No. 221), with a = 5.9082 Å, b = 5.9082 Å, c = 5.9082 Å, α = 90.00°, β = 90.00° and γ = 90.00°. Symmetry generates all atoms from Ho at (0.0000, 0.0000, 0.0000), Tl at (0.0000, 0.0000, 0.5000) and Tl at (0.5000, 0.5000, 0.5000).

The density comes out at 7.9 g cm⁻³. The calculation puts the electronic total energy at -2.44 eV per atom. The calculation puts the formation energy at 1.821 eV/f.u. The density of states at the Fermi level comes out at 4.57 states/eV per cell.



Entry from Alexandria: a geometry-optimized LaMgFe structure (PBE-GGA).

It has space group I4mm (No. 107), with a = 3.3932 Å, b = 3.3932 Å, c = 12.0217 Å, α = 90.00°, β = 90.00° and γ = 90.00°. Symmetry generates all atoms from La at (0.0000, 0.0000, 0.0000), Mg at (0.0000, 0.0000, 0.2726) and Fe at (0.0000, 0.0000, 0.6541).

The density comes out at 5.3 g cm⁻³. The calculation puts the electronic total energy at -4.76 eV per atom. The calculation puts the formation energy at 0.711 eV/f.u. The density of states at the Fermi level comes out at 9.43 states/eV per cell.



Entry from Alexandria: a geometry-optimized Ce2Y2Al3 structure (PBE-GGA).

It has space group Cmmm (No. 65), with a = 4.3126 Å, b = 23.4210 Å, c = 3.2746 Å, α = 90.00°, β = 90.00° and γ = 90.00°. Symmetry generates all atoms from Ce at (0.0000, 0.2127, 0.0000), Y at (0.0000, 0.0713, 0.0000), Al at (0.0000, 0.3598, 0.5000) and Al at (0.0000, 0.5000, 0.5000).

The density comes out at 5.4 g cm⁻³. The calculation puts the electronic total energy at -5.42 eV per atom. The calculation puts the formation energy at -1.926 eV/f.u. The density of states at the Fermi level comes out at 19.77 states/eV per cell.



Entry from Alexandria: a geometry-optimized Tb2DyIr2 structure (PBE-GGA).

It has space group Pmmn (No. 59, origin choice 2), with a = 4.8157 Å, b = 4.8226 Å, c = 10.3338 Å, α = 90.00°, β = 90.00° and γ = 90.00°. Symmetry generates all atoms from Tb at (0.2500, 0.2500, 0.9995), Tb at (0.2500, 0.2500, 0.3335), Dy at (0.2500, 0.2500, 0.6652), Ir at (0.2500, 0.7500, 0.1615) and Ir at (0.2500, 0.7500, 0.5057).

The density comes out at 12.0 g cm⁻³. The calculation puts the electronic total energy at -7.06 eV per atom. The calculation puts the formation energy at -3.735 eV/f.u. The density of states at the Fermi level comes out at 7.05 states/eV per cell. For the offset from the most stable computed form, the calculation gives 0 meV per atom.



- Which value of electronic total energy does entry 5 give?
  -5.42 eV per atom